(P)
First-principles (GGA-PBE) data for SrZr2Co2 after structural relaxation, as listed in Alexandria.

Structure (POSCAR):
```
SrZr2Co2
1.0
-3.735 6.230 -3.349
-6.034 -0.832 5.184
1.405 1.884 1.938
Sr Co Zr
2 4 4
Cartesian
0.000 0.000 0.000
-4.885 2.699 0.918
-3.667 1.274 3.815
-6.881 4.203 3.297
-4.697 6.009 -0.042
-1.483 3.079 0.476
-6.533 1.527 3.252
-7.075 4.824 0.439
-3.237 3.872 -1.417
-2.695 0.574 1.396
```

(Q)
First-principles (GGA-PBE) data for SrZr2Co2 after structural relaxation, as listed in Alexandria.

Structure (POSCAR):
```
SrZr2Co2
1.0
4.653 0.000 0.000
0.000 4.653 0.000
2.327 2.327 5.299
Sr Co Zr
1 2 2
Cartesian
0.000 0.000 0.000
4.653 2.327 2.649
2.327 4.653 2.649
2.327 2.327 1.708
4.653 4.653 3.591
```

Ordering by calculated energy gives the sequence (P), (Q), with the first entry being the most stable.

(P)
First-principles (GGA-PBE) data for SrZrCo3 after structural relaxation, as listed in Alexandria.

Structure (POSCAR):
```
SrZrCo3
1.0
-1.328 -1.242 4.253
-0.493 -4.371 -1.430
4.404 -0.864 1.123
Sr Co Zr
1 3 1
Cartesian
0.000 0.000 0.000
-0.246 -2.186 -0.715
2.202 -0.432 0.561
-0.664 -0.621 2.127
1.291 -3.239 1.973
```

(Q)
First-principles (GGA-PBE) data for SrZrCo3 after structural relaxation, as listed in Alexandria.

Structure (POSCAR):
```
SrZrCo3
1.0
4.745 0.000 0.000
0.000 4.745 0.000
0.000 0.000 4.745
Sr Co Zr
1 3 1
Cartesian
2.372 2.372 2.372
0.000 2.372 0.000
0.000 0.000 2.372
2.372 0.000 0.000
0.000 0.000 0.000
```

Ordering by calculated energy gives the sequence (Q), (P), with the first entry being the most stable.

(P)
First-principles (GGA-PBE) data for Ta5Co3 after structural relaxation, as listed in Alexandria.

Structure (POSCAR):
```
Ta5Co3
1.0
-0.389 1.726 4.711
6.140 -4.253 -0.901
3.491 6.612 0.833
Co Ta
6 10
Cartesian
2.408 4.024 4.066
9.511 2.787 1.111
3.356 0.123 2.958
5.888 3.966 1.687
-0.268 1.302 3.534
6.835 0.065 0.579
7.000 4.295 4.386
6.026 -0.404 3.122
4.638 1.593 1.145
4.530 5.725 3.868
7.549 2.005 2.575
1.695 2.085 2.069
4.714 -1.636 0.777
4.606 2.496 3.499
3.218 4.493 1.522
2.243 -0.205 0.258
```

(Q)
First-principles (GGA-PBE) data for Ta5Co3 after structural relaxation, as listed in Alexandria.

Structure (POSCAR):
```
Ta5Co3
1.0
-5.935 2.439 3.923
-0.874 -2.282 -7.112
-0.868 -4.717 1.620
Co Ta
6 10
Cartesian
-4.207 -2.076 3.565
-2.596 -0.202 1.977
-3.380 -3.475 -0.064
-0.567 -2.094 -2.446
-4.296 -1.085 -1.506
-7.109 -2.466 0.877
-4.695 0.661 3.365
-2.107 -2.939 2.178
-1.888 -1.141 -0.378
-6.800 -1.659 3.392
-4.248 0.865 0.245
-4.681 -1.493 1.055
-2.561 -0.708 -3.434
-2.995 -3.067 -2.624
-5.789 -3.419 -1.192
-0.876 -2.901 -4.962
```

(R)
First-principles (GGA-PBE) data for Ta5Co3 after structural relaxation, as listed in Alexandria.

Structure (POSCAR):
```
Ta5Co3
1.0
-3.212 0.663 4.337
0.184 -5.265 -1.347
3.497 -0.563 2.676
Ta Co
5 3
Cartesian
0.000 0.000 0.000
-1.606 0.331 2.169
0.092 -2.633 -0.674
-0.499 -3.697 3.557
0.968 -1.468 2.109
-1.514 -2.301 1.495
-0.602 -1.123 4.232
1.070 -4.042 1.434
```

Ordering by calculated energy gives the sequence (P), (Q), (R), with the first entry being the most stable.

(P)
First-principles (GGA-PBE) data for TaCo6 after structural relaxation, as listed in Alexandria.

Structure (POSCAR):
```
TaCo6
1.0
-2.299 -3.986 2.169
5.007 -0.862 -0.256
-0.862 4.173 2.779
Ta Co
1 6
Cartesian
0.000 0.000 0.000
2.750 0.443 1.740
2.391 -1.597 1.587
1.282 1.702 2.498
-0.903 -1.119 2.952
-0.544 0.921 3.105
0.564 -2.378 2.194
```

(Q)
First-principles (GGA-PBE) data for TaCo6 after structural relaxation, as listed in Alexandria.

Structure (POSCAR):
```
TaCo6
1.0
4.617 0.000 0.000
0.000 7.576 0.000
0.000 0.000 9.553
Ta Co
4 24
Cartesian
3.462 1.862 8.964
1.154 5.713 0.589
3.462 5.650 5.365
1.154 1.926 4.188
3.462 4.544 0.207
1.154 3.032 9.345
3.462 0.756 4.569
1.154 6.819 4.984
0.045 3.265 1.845
2.353 4.310 7.708
2.263 7.053 2.931
4.571 0.522 6.621
4.571 4.310 7.708
2.263 3.265 1.845
2.353 0.522 6.621
0.045 7.053 2.931
1.154 1.040 1.442
3.462 6.535 8.111
1.154 4.828 3.335
3.462 2.747 6.218
1.154 6.166 7.234
3.462 1.410 2.319
1.154 2.378 7.095
3.462 5.198 2.457
1.154 4.186 5.541
3.462 3.389 4.012
1.154 0.398 8.788
3.462 7.177 0.765
```

Ordering by calculated energy gives the sequence (Q), (P), with the first entry being the most stable.